No. 1
The following is a PBE-GGA calculation of BePt2 after structural relaxation, from OQMD via LeMat-Bulk.

Geometry as extended XYZ:
```
6
Lattice="0.0000 4.7268 4.7268 4.7268 0.0000 4.7268 4.7268 4.7268 0.0000" Properties=species:S:1:pos:R:3 pbc="T T T"
Be 1.1817 1.1817 1.1817
Be 8.2719 8.2719 8.2719
Pt 0.0000 0.0000 0.0000
Pt 2.3634 2.3634 0.0000
Pt 2.3634 0.0000 2.3634
Pt 0.0000 2.3634 2.3634
```

Values from the calculation:
As for the total moment: 0.0 Bohr magnetons per cell. The total energy is -3.803 eV per atom. As for the space group: No. 227.

No. 2
The following is a PBE-GGA calculation of LiFeMoAs after structural relaxation, from OQMD via LeMat-Bulk.

Geometry as extended XYZ:
```
16
Lattice="5.9166 0.0000 0.0000 0.0000 5.9166 0.0000 0.0000 0.0000 5.9166" Properties=species:S:1:pos:R:3 pbc="T T T"
Li 0.0000 0.0000 0.0000
Li 0.0000 2.9583 2.9583
Li 2.9583 0.0000 2.9583
Li 2.9583 2.9583 0.0000
Fe 1.4792 1.4792 4.4375
Fe 1.4792 4.4375 1.4792
Fe 4.4375 1.4792 1.4792
Fe 4.4375 4.4375 4.4375
Mo 1.4792 1.4792 1.4792
Mo 1.4792 4.4375 4.4375
Mo 4.4375 1.4792 4.4375
Mo 4.4375 4.4375 1.4792
As 0.0000 0.0000 2.9583
As 0.0000 2.9583 0.0000
As 2.9583 0.0000 0.0000
As 2.9583 2.9583 2.9583
```

Values from the calculation:
As for the total moment: 9.8 Bohr magnetons per cell. For the energy relative to the lowest polymorph listed for this composition, the calculation gives 0.054 eV/atom. As for the space group: No. 216.

No. 3
The following is a PBE-GGA calculation of Cu2Ag3 after structural relaxation, from OQMD via LeMat-Bulk.

Geometry as extended XYZ:
```
10
Lattice="7.2268 -1.9408 0.0000 7.2268 1.9408 0.0000 -1.1240 0.0000 5.5521" Properties=species:S:1:pos:R:3 pbc="T T T"
Cu 0.0000 0.0000 0.0000
Cu -0.5620 0.0000 2.7760
Cu 5.0477 0.0000 3.8954
Cu 8.2820 0.0000 1.6566
Ag 2.6848 0.0000 0.5594
Ag 2.1437 0.0000 3.2960
Ag 5.7191 0.0000 1.1469
Ag 7.6105 0.0000 4.4052
Ag 11.1859 0.0000 2.2561
Ag 10.6448 0.0000 4.9927
```

Values from the calculation:
For the energy relative to the lowest polymorph listed for this composition, the calculation gives 0.054 eV/atom. As for the formation energy: 86.4 meV per atom. As for the space group: No. 12.

What did the third record say?
The following is a PBE-GGA calculation of Cu2Ag3 after structural relaxation, from OQMD via LeMat-Bulk.

Geometry as extended XYZ:
```
10
Lattice="7.2268 -1.9408 0.0000 7.2268 1.9408 0.0000 -1.1240 0.0000 5.5521" Properties=species:S:1:pos:R:3 pbc="T T T"
Cu 0.0000 0.0000 0.0000
Cu -0.5620 0.0000 2.7760
Cu 5.0477 0.0000 3.8954
Cu 8.2820 0.0000 1.6566
Ag 2.6848 0.0000 0.5594
Ag 2.1437 0.0000 3.2960
Ag 5.7191 0.0000 1.1469
Ag 7.6105 0.0000 4.4052
Ag 11.1859 0.0000 2.2561
Ag 10.6448 0.0000 4.9927
```

Values from the calculation:
For the energy relative to the lowest polymorph listed for this composition, the calculation gives 0.054 eV/atom. As for the formation energy: 86.4 meV per atom. As for the space group: No. 12.